DFT (PBE with a Hubbard U) results for crystalline AlNi2B2O6 at its relaxed geometry.

## Properties
VASP energy: -6.550 eV per atom
M_tot: 0.2750 μB/atom
volume: 9.9 A^3/atom

a = 4.781 Å, b = 4.781 Å, c = 5.485 Å
α = 90.00°, β = 90.00°, γ = 120.00°
Atoms (fractional coordinates):
Al 0.000 0.000 0.000
Ni 0.333 0.667 0.328
Ni 0.667 0.333 0.672
B 0.333 0.667 0.800
B 0.667 0.333 0.200
O 0.287 0.356 0.794
O 0.069 0.713 0.794
O 0.644 0.931 0.794
O 0.713 0.644 0.206
O 0.931 0.287 0.206
O 0.356 0.069 0.206